[1]
{"formula": "CaBeAu4", "functional": "PBE", "state": "relaxed", "formation_enthalpy_0k_ev_per_atom": -0.4241, "rho_g_cm3": 12.31, "e_above_lowest_polymorph_ev_per_atom": 0.0000, "energy_ev_per_cell": -42.76, "lattice_angstrom": [[7.2551, 0.2281, 0.8807], [1.4354, 4.6334, 2.7017], [0.1807, -0.5254, 6.5102]], "species": ["Ca", "Ca", "Be", "Be", "Au", "Au", "Au", "Au", "Au", "Au", "Au", "Au"], "frac_coords": [[0.7500, 0.4305, 0.1391], [0.2500, 0.5695, 0.8609], [0.2500, 0.9496, 0.1008], [0.7500, 0.0504, 0.8992], [0.6459, 0.5100, 0.6247], [0.0382, 0.2151, 0.7826], [0.8541, 0.8653, 0.6247], [0.4618, 0.0023, 0.7826], [0.5382, 0.9977, 0.2174], [0.1459, 0.1347, 0.3753], [0.9618, 0.7849, 0.2174], [0.3541, 0.4900, 0.3753]]}

=====

[2]
{"formula": "Ca3Be2Au9", "functional": "PBE", "state": "relaxed", "formation_enthalpy_0k_ev_per_atom": -0.4022, "rho_g_cm3": 11.42, "energy_ev_per_cell": -48.58, "lattice_angstrom": [[-3.1639, 1.4338, -3.2117], [-5.1518, -6.3811, -1.2577], [-7.2826, 0.5532, 3.9369]], "species": ["Ca", "Ca", "Ca", "Be", "Be", "Au", "Au", "Au", "Au", "Au", "Au", "Au", "Au", "Au"], "frac_coords": [[0.0000, 0.0000, 0.0000], [0.7226, 0.2774, 0.2774], [0.2774, 0.7226, 0.7226], [0.5000, 0.3705, 0.6295], [0.5000, 0.6295, 0.3705], [0.0000, 0.5000, 0.5000], [0.6114, 0.0493, 0.7280], [0.3886, 0.9507, 0.2720], [0.6114, 0.7280, 0.0493], [0.3886, 0.2720, 0.9507], [0.8298, 0.8629, 0.4775], [0.1702, 0.1371, 0.5225], [0.8298, 0.4775, 0.8629], [0.1702, 0.5225, 0.1371]]}

=====

[3]
{"formula": "Ca3BeAu", "functional": "PBE", "state": "relaxed", "formation_enthalpy_0k_ev_per_atom": 0.1581, "rho_g_cm3": 3.44, "e_above_lowest_polymorph_ev_per_atom": 0.0000, "energy_ev_per_cell": -12.22, "lattice_angstrom": [[5.4024, 0.0000, 0.0000], [0.0000, 5.4024, 0.0000], [0.0000, 0.0000, 5.4024]], "species": ["Be", "Ca", "Ca", "Ca", "Au"], "frac_coords": [[0.0000, 0.0000, 0.0000], [0.0000, 0.5000, 0.0000], [0.0000, 0.0000, 0.5000], [0.5000, 0.0000, 0.0000], [0.5000, 0.5000, 0.5000]]}

=====

[4]
{"formula": "CaBeAu", "functional": "PBE", "state": "relaxed", "formation_enthalpy_0k_ev_per_atom": 0.4482, "rho_g_cm3": 5.39, "e_above_lowest_polymorph_ev_per_atom": 0.8331, "energy_ev_per_cell": -7.66, "lattice_angstrom": [[4.7519, 0.0000, 0.0000], [2.3759, 4.1152, 0.0000], [2.3759, 1.3717, 3.8799]], "species": ["Be", "Ca", "Au"], "frac_coords": [[0.5000, 0.5000, 0.5000], [0.7500, 0.7500, 0.7500], [0.0000, 0.0000, 0.0000]]}

=====

Number 4 is which compound? CaBeAu